[1]
# ErTlIn2 PBE optimized geometry
data_ErTlIn2
_chemical_formula_sum 'Er1 Tl1 In2'
_cell_length_a 4.641
_cell_length_b 4.641
_cell_length_c 4.730
_cell_angle_alpha 90.00
_cell_angle_beta 90.00
_cell_angle_gamma 90.00
_symmetry_space_group_name_H-M 'P 4/m m m'
_symmetry_Int_Tables_number 123
_symmetry_space_group_name_Hall '-P 4 2'
loop_
_atom_site_label
_atom_site_fract_x
_atom_site_fract_y
_atom_site_fract_z
Er1 0.000 0.000 0.000
Tl1 0.500 0.500 0.000
In1 0.000 0.500 0.500
# - energy of formation (eV per atom) = -0.31
# - energy above the lowest structure with this stoichiometry (eV per formula unit) = 0.00
# - total magnetization (μB/cell) = 0.00

[2]
# K2MoP PBE optimized geometry
data_K2MoP
_chemical_formula_sum 'K4 Mo2 P2'
_cell_length_a 5.349
_cell_length_b 11.250
_cell_length_c 2.924
_cell_angle_alpha 90.00
_cell_angle_beta 90.00
_cell_angle_gamma 90.00
_symmetry_space_group_name_H-M 'C m m m'
_symmetry_Int_Tables_number 65
_symmetry_space_group_name_Hall '-C 2 2'
loop_
_atom_site_label
_atom_site_fract_x
_atom_site_fract_y
_atom_site_fract_z
K1 0.250 0.250 0.000
Mo1 0.000 0.000 0.500
P1 0.000 0.500 0.500
# - energy of formation (eV per atom) = 0.93
# - total magnetization (μB/cell) = 0.00

[3]
# Tl3SnSe4 PBE optimized geometry
data_Tl3SnSe4
_chemical_formula_sum 'Tl12 Sn4 Se16'
_cell_length_a 8.342
_cell_length_b 8.983
_cell_length_c 15.333
_cell_angle_alpha 90.00
_cell_angle_beta 97.81
_cell_angle_gamma 90.00
_symmetry_space_group_name_H-M 'P 1 21/c 1'
_symmetry_Int_Tables_number 14
loop_
_symmetry_equiv_pos_as_xyz
'x,y,z'
'-x,-y,-z'
'-x,y+1/2,-z+1/2'
'x,-y+1/2,z+1/2'
loop_
_atom_site_label
_atom_site_fract_x
_atom_site_fract_y
_atom_site_fract_z
Tl1 0.011 0.031 0.120
Tl2 0.268 0.129 0.654
Tl3 0.379 0.681 0.614
Sn1 0.186 0.144 0.372
Se1 0.074 0.723 0.222
Se2 0.101 0.577 0.973
Se3 0.297 0.156 0.981
Se4 0.405 0.069 0.280
# - formation energy without anion corrections (eV/atom) = -0.36
# - energy above the lowest structure with this stoichiometry (eV per formula unit) = 0.00
# - total magnetization (μB/cell) = 0.00

[4]
# Pm3B2N6 PBE optimized geometry
data_Pm3B2N6
_chemical_formula_sum 'Pm6 B4 N12'
_cell_length_a 3.580
_cell_length_b 3.580
_cell_length_c 19.873
_cell_angle_alpha 90.00
_cell_angle_beta 90.00
_cell_angle_gamma 90.00
_symmetry_space_group_name_H-M 'I 4/m m m'
_symmetry_Int_Tables_number 139
_symmetry_space_group_name_Hall '-I 4 2'
loop_
_atom_site_label
_atom_site_fract_x
_atom_site_fract_y
_atom_site_fract_z
Pm1 0.000 0.000 0.000
Pm2 0.000 0.000 0.180
B1 0.000 0.000 0.380
N1 0.000 0.000 0.307
N2 0.000 0.500 0.088
# - formation energy without anion corrections (eV/atom) = -0.55
# - total magnetization (μB/cell) = 0.00

[5]
# TlPdPbAu PBE optimized geometry
data_TlPdPbAu
_chemical_formula_sum 'Tl4 Pd4 Pb4 Au4'
_cell_length_a 7.099
_cell_length_b 7.099
_cell_length_c 7.099
_cell_angle_alpha 90.00
_cell_angle_beta 90.00
_cell_angle_gamma 90.00
_symmetry_space_group_name_H-M 'F -4 3 m'
_symmetry_Int_Tables_number 216
_symmetry_space_group_name_Hall 'F -4 2 3'
loop_
_atom_site_label
_atom_site_fract_x
_atom_site_fract_y
_atom_site_fract_z
Tl1 0.000 0.000 0.000
Pd1 0.250 0.250 0.250
Pb1 0.000 0.000 0.500
Au1 0.250 0.250 0.750
# - energy of formation (eV per atom) = -0.02
# - energy above the lowest structure with this stoichiometry (eV per formula unit) = 0.25
# - total magnetization (μB/cell) = 0.00